Record 1
InOs2Pt | Alexandria | PBE | relaxed; energy of formation from the pure elements = 0.5598 eV/atom; M_tot = 0.00 Bohr magnetons per cell; symmetry = P4/mmm
1.0
4.4128 0.0000 0.0000
0.0000 4.4128 0.0000
0.0000 0.0000 3.2956
In Os Pt
1 2 1
direct
0.0000 0.0000 0.0000
0.0000 0.5000 0.5000
0.5000 0.0000 0.5000
0.5000 0.5000 0.0000

Record 2
NaTmF3 | Alexandria | PBE | relaxed; M_tot = 0.00 Bohr magnetons per cell; symmetry = P-6m2; formation energy from raw total energies = -3062 meV/atom
1.0
5.9476 0.0000 0.0000
-2.9738 5.1508 0.0000
0.0000 0.0000 3.2175
Na Tm F
1 1 3
direct
0.0000 0.0000 0.0000
0.6667 0.3333 0.0000
0.3645 0.1822 0.5000
0.8178 0.1822 0.5000
0.8178 0.6355 0.5000